VASP calculation (PBE) on a relaxed InHgBr2F crystal.

Cell lengths 5.655, 5.655, 4.531 Å; angles 90.00, 90.00, 90.00 degrees
Fractional positions:
1 In 0.000 0.000 0.000
2 Hg 0.500 0.500 0.500
3 Br 0.000 0.500 0.500
4 Br 0.500 0.000 0.500
5 F 0.500 0.500 0.000

## Properties
- Crystal system: tetragonal
- Formation energy (no corrections): -0.7752 eV per atom
- Distance to the lowest polymorph of the same formula: 127 meV per atom
- Total magnetization: 0.0 μB/f.u.
- Space group: No. 123